This record from the Alexandria database describes LiLaI3 after structural relaxation. The functional is PBE.

Lattice parameters (Å, degrees): 6.221 6.221 6.221 90.00 90.00 90.00
Element x y z (fractional)
Li  0.000  0.000  0.000
La  0.500  0.500  0.500
I  0.000  0.500  0.500
I  0.500  0.000  0.500
I  0.500  0.500  0.000

Results
* space-group type: Pm-3m (221)
* raw formation energy: -921.8 meV per atom
* energy: -16.10 eV per cell